Computed, not measured: a relaxed TaAs3Pd crystal at the PBE-GGA level of DFT.

Properties
relative energy among the computed polymorphs = 0 meV per atom
V = 121.3 Å³ per cell
total magnetic moment = 0.00 μB/cell
D(E_F) = 2.8 states/eV per cell

Cell lengths 4.9496, 4.9496, 4.9496 Å; angles 90.00, 90.00, 90.00 degrees
Space group Pm-3m (No. 221)
Asymmetric unit:
Ta1 0.0000 0.0000 0.0000
As1 0.0000 0.0000 0.5000
Pd1 0.5000 0.5000 0.5000

***

Computed, not measured: a relaxed Ta2As2Pd crystal at the PBE-GGA level of DFT.

Properties
relative energy among the computed polymorphs = 62 meV per atom
V = 175.6 Å³ per cell
total magnetic moment = 0.00 μB/cell
D(E_F) = 7.4 states/eV per cell

Cell lengths 7.2563, 7.2563, 3.3350 Å; angles 90.00, 90.00, 90.00 degrees
Space group P4/mbm (No. 127)
Asymmetric unit:
Ta1 0.1417 0.3583 0.0000
As1 0.1496 0.6496 0.5000
Pd1 0.0000 0.0000 0.0000